An optimized crystal structure of Cr2IrRh2. Source: the Alexandria database, functional GGA-PBE.

Cell: 7.0529 7.0529 2.7245 Å, 90.00 90.00 90.00°
With the nearest neighbours (Å) after each atom.
Fractional positions:
Cr (0.1140, 0.3860, 0.0000)  1 Cr 2.27, 6 Rh 2.48-2.51
Cr (0.6140, 0.1140, 0.0000)  1 Cr 2.27, 6 Rh 2.48-2.51
Cr (0.8860, 0.6140, 0.0000)  1 Cr 2.27, 6 Rh 2.48-2.51
Ir (0.0000, 0.0000, 0.0000)  2 Ir 2.72, 4 Cr 2.84, 8 Rh 2.93
Rh (0.6787, 0.8213, 0.5000)  6 Cr 2.48-2.51, 2 Rh 2.72
Ir (0.5000, 0.5000, 0.0000)  2 Ir 2.72, 4 Cr 2.84, 8 Rh 2.93
Rh (0.1787, 0.6787, 0.5000)  6 Cr 2.48-2.51, 2 Rh 2.72
Cr (0.3860, 0.8860, 0.0000)  1 Cr 2.27, 6 Rh 2.48-2.51
Rh (0.3213, 0.1787, 0.5000)  6 Cr 2.48-2.51, 2 Rh 2.72
Rh (0.8213, 0.3213, 0.5000)  6 Cr 2.48-2.51, 2 Rh 2.72

Energy relative to the lowest polymorph listed for this composition ... 0.67 eV per formula unit
Energy relative to the elements ... 0.128 eV per atom
E_tot ... -84.3 eV/cell
Space-group type ... P4/mbm, No. 127